A crystal of Li4V5O12 relaxed with PBEsol. Source: Alexandria, functional SCAN.

abc: 8.7798 8.9424 15.1531
angles: 90.00 124.52 90.00
With the nearest neighbours (Å) after each atom.
Fractional coordinates of all 84 atoms:
Li 0.0091 0.2256 0.1913  4 O 1.98-2.07
Li 0.0091 0.2744 0.6913  4 O 1.98-2.07
Li 0.1765 0.6749 0.0361  3 O 1.94-2.15
Li 0.1765 0.8251 0.5361  3 O 1.94-2.15
Li 0.2575 0.5929 0.2693  3 O 1.89-2.00
Li 0.2575 0.9071 0.7693  3 O 1.89-2.00
Li 0.3694 0.0773 0.2985  4 O 1.97-2.03
Li 0.3694 0.4227 0.7985  4 O 1.97-2.03
Li 0.6306 0.5773 0.2015  4 O 1.97-2.03
Li 0.6306 0.9227 0.7015  4 O 1.97-2.03
Li 0.7425 0.0929 0.2307  3 O 1.89-2.00
Li 0.7425 0.4071 0.7307  3 O 1.89-2.00
Li 0.8235 0.1749 0.4639  3 O 1.94-2.15
Li 0.8235 0.3251 0.9639  3 O 1.94-2.15
Li 0.9909 0.7256 0.3087  4 O 1.98-2.07
Li 0.9909 0.7744 0.8087  4 O 1.98-2.07
V 0.0367 0.6186 0.6406  4 O 1.70-1.75
V 0.0367 0.8814 0.1406  4 O 1.70-1.75
V 0.1359 0.0295 0.3807  6 O 1.92-2.00
V 0.1359 0.4705 0.8807  6 O 1.92-2.00
V 0.2600 0.1235 0.6455  4 O 1.72-1.76
V 0.2600 0.3765 0.1455  4 O 1.72-1.76
V 0.3610 0.0231 0.1110  6 O 1.88-2.02
V 0.3610 0.4769 0.6110  6 O 1.88-2.02
V 0.4605 0.7491 0.9914  4 O 1.71-1.77
V 0.4605 0.7509 0.4914  4 O 1.71-1.77
V 0.5395 0.2491 0.5086  4 O 1.71-1.77
V 0.5395 0.2509 0.0086  4 O 1.71-1.77
V 0.6390 0.5231 0.3890  6 O 1.88-2.02
V 0.6390 0.9769 0.8890  6 O 1.88-2.02
V 0.7400 0.6235 0.8545  4 O 1.72-1.76
V 0.7400 0.8765 0.3545  4 O 1.72-1.76
V 0.8641 0.5295 0.1193  6 O 1.92-2.00
V 0.8641 0.9705 0.6193  6 O 1.92-2.00
V 0.9633 0.1186 0.8594  4 O 1.70-1.75
V 0.9633 0.3814 0.3594  4 O 1.70-1.75
O 0.0213 0.7082 0.1891  1 V 1.75
O 0.0213 0.7918 0.6891  1 V 1.75
O 0.1045 0.0762 0.6793  1 V 1.76, 1 Li 1.97
O 0.1045 0.4238 0.1793  1 V 1.76, 1 Li 1.97
O 0.1131 0.0124 0.2427  1 V 1.74
O 0.1131 0.4876 0.7427  1 V 1.74
O 0.1659 0.0634 0.5163  1 V 1.72
O 0.1659 0.4366 0.0163  1 V 1.72
O 0.1742 0.0653 0.9666  2 V 1.70-1.88
O 0.1742 0.4347 0.4666  2 V 1.70-1.88
O 0.1966 0.6382 0.6082  1 V 1.74
O 0.1966 0.8618 0.1082  1 V 1.74
O 0.2341 0.6768 0.9301  1 V 1.77, 1 Li 1.94
O 0.2341 0.8232 0.4301  1 V 1.77, 1 Li 1.94
O 0.2783 0.1839 0.1631  1 V 1.74
O 0.2783 0.3161 0.6631  1 V 1.74
O 0.3709 0.1174 0.4307  2 V 1.73-1.92
O 0.3709 0.3826 0.9307  2 V 1.73-1.92
O 0.4511 0.0084 0.7307  1 V 1.76
O 0.4511 0.4916 0.2307  1 V 1.76
O 0.4744 0.6736 0.3910  1 V 1.74, 1 Li 1.89
O 0.4744 0.8264 0.8910  1 V 1.74, 1 Li 1.89
O 0.4807 0.6244 0.5817  2 V 1.71-1.89
O 0.4807 0.8756 0.0817  2 V 1.71-1.89
O 0.5193 0.1244 0.9183  2 V 1.71-1.89
O 0.5193 0.3756 0.4183  2 V 1.71-1.89
O 0.5256 0.1736 0.1090  1 V 1.74, 1 Li 1.89
O 0.5256 0.3264 0.6090  1 V 1.74, 1 Li 1.89
O 0.5489 0.5084 0.7693  1 V 1.76
O 0.5489 0.9916 0.2693  1 V 1.76
O 0.6291 0.6174 0.0693  2 V 1.73-1.92
O 0.6291 0.8826 0.5693  2 V 1.73-1.92
O 0.7217 0.6839 0.3369  1 V 1.74
O 0.7217 0.8161 0.8369  1 V 1.74
O 0.7659 0.1768 0.5699  1 V 1.77, 1 Li 1.94
O 0.7659 0.3232 0.0699  1 V 1.77, 1 Li 1.94
O 0.8034 0.1382 0.8918  1 V 1.74
O 0.8034 0.3618 0.3918  1 V 1.74
O 0.8258 0.5653 0.5334  2 V 1.70-1.88
O 0.8258 0.9347 0.0334  2 V 1.70-1.88
O 0.8341 0.5634 0.9837  1 V 1.72
O 0.8341 0.9366 0.4837  1 V 1.72
O 0.8869 0.5124 0.2573  1 V 1.74
O 0.8869 0.9876 0.7573  1 V 1.74
O 0.8955 0.5762 0.8207  1 V 1.76, 1 Li 1.97
O 0.8955 0.9238 0.3207  1 V 1.76, 1 Li 1.97
O 0.9787 0.2082 0.3109  1 V 1.75
O 0.9787 0.2918 0.8109  1 V 1.75

Output
Symmetry: No. 14
Raw total energy in eV/atom: -10.736